Record 1
# Sm2CoSn6

A geometry-optimized Sm2CoSn6 structure (PBE, the Alexandria database).

Spin magnetization ... 0.0 μB/f.u.
SG ... Cmmm
Total energy ... -43.08 eV per cell

abc: 8.973 8.973 4.094
angles: 90.00 90.00 133.88
Fractional coordinates of all 9 atoms:
Sm 0.214 0.786 0.000
Sm 0.786 0.214 0.000
Co 0.500 0.500 0.500
Sn 0.160 0.436 0.500
Sn 0.246 0.246 0.000
Sn 0.436 0.160 0.500
Sn 0.564 0.840 0.500
Sn 0.754 0.754 0.000
Sn 0.840 0.564 0.500


Record 2
# RbAg2As2

A geometry-optimized RbAg2As2 structure (PBE, the Alexandria database).

Spin magnetization ... 0.0 μB/f.u.
SG ... I4/mmm
Energy relative to the lowest polymorph listed for this composition ... 0.67 eV per formula unit
Total energy ... -16.06 eV per cell

abc: 6.609 6.609 6.609
angles: 135.60 135.60 64.59
Fractional coordinates of all 5 atoms:
Rb 0.000 0.000 0.000
Ag 0.330 0.330 0.000
Ag 0.670 0.670 0.000
As 0.250 0.750 0.500
As 0.750 0.250 0.500